Run 1
{
  "formula": "HfNiIr3",
  "functional": "PBE",
  "state": "optimized geometry",
  "dos_ef_per_ev_cell": 14.10,
  "lattice_angstrom": [[-0.292, 3.294, 3.459], [1.572, -3.207, 3.186], [4.511, 1.331, -0.886]],
  "species": ["Ir", "Ir", "Hf", "Ni", "Ir"],
  "frac_coords": [[0.500, 0.000, 0.000], [0.000, 0.500, 0.000], [0.000, 0.000, 0.000], [0.500, 0.500, 0.500], [0.000, 0.000, 0.500]]
}

=====

Run 2
{
  "formula": "HfNiIr3",
  "functional": "PBE",
  "state": "optimized geometry",
  "dos_ef_per_ev_cell": 8.22,
  "lattice_angstrom": [[4.447, 0.000, 0.000], [0.000, 4.447, 0.000], [0.000, 0.000, 4.447]],
  "species": ["Ir", "Ir", "Ni", "Hf", "Ir"],
  "frac_coords": [[0.500, 0.000, 0.000], [0.000, 0.500, 0.000], [0.000, 0.000, 0.000], [0.500, 0.500, 0.500], [0.000, 0.000, 0.500]]
}

=====

Most stable to least stable, the ends of the list are run 2 and run 1.